# 1
Computed, not measured: an optimized crystal structure of Y2AsHW at the PBE-GGA level of DFT.

Geometry as extended XYZ:
```
5
Lattice="5.485 0.000 0.000 0.000 3.472 0.000 0.000 0.000 5.485" Properties=species:S:1:pos:R:3 pbc="T T T"
W 0.000 0.000 0.000
Y 2.742 0.000 0.000
Y 0.000 0.000 2.742
H 0.000 1.736 0.000
As 2.742 1.736 2.742
```

N(E_F) ... 3.8 states/eV/cell
SG ... No. 123
VASP energy ... -6.47 eV/atom

---

# 2
Computed, not measured: an optimized crystal structure of ErSc2PaAs4 at the PBE-GGA level of DFT.

Geometry as extended XYZ:
```
8
Lattice="-2.128 -3.375 0.322 4.900 -3.412 -3.383 4.628 -2.488 4.499" Properties=species:S:1:pos:R:3 pbc="T T T"
Sc 1.250 -2.931 2.411
Sc 4.628 -2.488 4.499
As 7.189 -4.459 0.767
As 3.801 -4.895 -1.314
As 0.211 -4.816 0.671
As 3.599 -4.380 2.752
Er 4.764 -2.950 0.558
Pa 1.386 -3.393 -1.531
```

N(E_F) ... 5.4 states/eV/cell
Formation enthalpy at 0 K ... -1025 kJ/mol of formula units
SG ... No. 10

---

# 3
Computed, not measured: an optimized crystal structure of ScHgPb2 at the PBE-GGA level of DFT.

Geometry as extended XYZ:
```
4
Lattice="-3.125 1.099 -3.633 2.612 -0.666 -2.449 -0.384 -6.025 -1.493" Properties=species:S:1:pos:R:3 pbc="T T T"
Sc 1.664 -3.269 -2.421
Pb 2.168 -6.293 -3.769
Pb -0.964 -1.583 -2.977
Hg -0.422 -4.485 -4.320
```

N(E_F) ... 3.2 states/eV/cell
Formation enthalpy at 0 K ... -58 kJ/mol of formula units
SG ... No. 6

---

Ρ values, unit g/cm3, following the record order: 7.0 7.3 10.3.